Entry from Alexandria: an optimized crystal structure of Dy2Ho2S3 (PBE-GGA).

```
Dy2Ho2S3
1.0
3.702 0.000 -1.020
-0.530 6.372 -1.924
-0.167 0.796 6.622
Ho Dy S
2 2 3
Cartesian
1.812 5.776 -0.652 Ho
1.193 1.391 4.330 Ho
2.786 4.558 2.884 Dy
0.219 2.610 0.794 Dy
2.554 1.966 2.041 S
0.000 0.000 0.000 S
0.451 5.202 1.637 S
```

Summary:
space group	C2/m, No. 12
uncorrected formation energy	-1.700	eV/atom

***

Entry from Alexandria: an optimized crystal structure of HfCF (PBE-GGA).

```
HfCF
1.0
3.290 0.000 0.000
1.645 8.126 -1.755
1.645 0.157 3.301
C Hf F
2 2 2
Cartesian
3.290 7.682 1.078 C
3.290 0.601 0.469 C
1.645 1.506 1.707 Hf
4.935 6.777 -0.161 Hf
3.290 5.375 -0.374 F
3.290 2.908 1.921 F
```

Summary:
space group	C2/m, No. 12
uncorrected formation energy	-1.576	eV/atom

***

Entry from Alexandria: an optimized crystal structure of Nd2HfAlPt6 (PBE-GGA).

```
Nd2HfAlPt6
1.0
8.455 -0.070 1.740
0.046 5.717 0.003
5.701 2.808 5.841
Pt Al Hf Nd
6 1 1 2
Cartesian
6.435 1.357 1.349 Pt
7.742 4.204 6.234 Pt
7.767 7.097 6.235 Pt
5.041 2.814 3.425 Pt
6.459 4.250 1.351 Pt
9.160 5.640 4.159 Pt
0.000 0.000 0.000 Al
4.250 2.823 0.872 Hf
8.333 2.789 3.638 Nd
5.868 5.665 3.946 Nd
```

Summary:
energy of formation from the pure elements	-0.856	eV/atom
space group	R-3m, No. 166

***

| no. | calculated volume (Å³/atom) | N(E_F) (states/eV per cell) |
| --- | --- | --- |
| 1 | 23.03 | 3.24 |
| 2 | 14.86 | 1.95 |
| 3 | 22.58 | 3.33 |